1.
The following is a DFT calculation (GGA-PBE) of a relaxed Ni2AuSe crystal.

Results
M_tot   0.0 μB/cell
Calculated total energy   -17.9 eV for the cell shown
DOS(E_F)   3.086 states/eV/cell

a = 4.1699 Å, b = 3.0232 Å, c = 4.7854 Å
α = 84.36°, β = 90.00°, γ = 90.00°
Element x y z (fractional)
Ni 0.0000 0.1129 0.9937
Ni 0.5000 0.1718 0.3188
Se 0.0000 0.5545 0.3719
Au 0.5000 0.6609 0.8156

=====

2.
The following is a DFT calculation (GGA-PBE) of a relaxed Zr2ScCr crystal.

Results
M_tot   2.3 μB/cell
Calculated total energy   -32.1 eV for the cell shown
DOS(E_F)   4.965 states/eV/cell

a = 4.6230 Å, b = 3.1668 Å, c = 5.9466 Å
α = 74.41°, β = 90.00°, γ = 90.00°
Element x y z (fractional)
Cr 0.0000 0.4818 0.4956
Zr 0.0000 0.9994 0.0077
Sc 0.5000 0.6782 0.7324
Zr 0.5000 0.3406 0.2642

=====

3.
The following is a DFT calculation (GGA-PBE) of a relaxed SrSb3 crystal.

Results
M_tot   0.0 μB/cell
Calculated total energy   -15.3 eV for the cell shown
DOS(E_F)   2.776 states/eV/cell

a = 8.5730 Å, b = 8.5730 Å, c = 8.5730 Å
α = 29.36°, β = 29.36°, γ = 29.36°
Element x y z (fractional)
Sb 0.2398 0.2398 0.2398
Sb 0.5000 0.5000 0.5000
Sb 0.7602 0.7602 0.7602
Sr 0.0000 0.0000 0.0000

=====

4.
The following is a DFT calculation (GGA-PBE) of a relaxed Sb2IrAu crystal.

Results
M_tot   0.0 μB/cell
Calculated total energy   -19.0 eV for the cell shown
DOS(E_F)   2.015 states/eV/cell

a = 5.5338 Å, b = 5.5338 Å, c = 5.5338 Å
α = 135.78°, β = 135.78°, γ = 64.32°
Element x y z (fractional)
Sb 0.0000 0.0000 0.0000
Au 0.5000 0.5000 0.0000
Sb 0.2500 0.7500 0.5000
Ir 0.7500 0.2500 0.5000